Below is a relaxed structure of CeAg3Cl6F2, with properties calculated at the GGA-PBE level.

Properties
DFT total energy	-3.66	eV/atom
size of the total moment	0.0	μB/cell

a = 6.2257 Å, b = 7.4919 Å, c = 7.4435 Å
α = 120.22°, β = 104.74°, γ = 90.00°
Sites, in units of the cell vectors:
Ce: 0.5000 0.0000 0.0000
Ag: 0.0000 0.5000 0.0000
Ag: 0.5000 0.5000 0.5000
Ag: 0.5000 0.0000 0.5000
Cl: 0.7613 0.3664 0.2192
Cl: 0.2387 0.6336 0.7808
Cl: 0.7520 0.8637 0.7274
Cl: 0.2480 0.1363 0.2726
Cl: 0.2387 0.1472 0.7808
Cl: 0.7613 0.8528 0.2192
F: 0.2748 0.6442 0.2884
F: 0.7252 0.3558 0.7116